First-principles (meta-GGA SCAN) data for a PBEsol-optimized structure of NaSr3O, as listed in the Alexandria database.

Values from the calculation:
Total moment: 0.00 μB/cell
Uncorrected formation energy: -1.04 eV/atom
Density of states at the Fermi level: 3.23 states/eV per cell

The structure in CIF format:
```
data_NaSr3O
_space_group_name_H-M_alt 'P m -3 m'
_space_group_IT_number 221
_space_group_name_Hall '-P 4 2 3'
_cell_length_a 5.359
_cell_length_b 5.359
_cell_length_c 5.359
_cell_angle_alpha 90.00
_cell_angle_beta 90.00
_cell_angle_gamma 90.00
loop_
_atom_site_label
_atom_site_type_symbol
_atom_site_fract_x
_atom_site_fract_y
_atom_site_fract_z
Na1 Na 0.000 0.000 0.000
Sr1 Sr 0.000 0.500 0.500
O1 O 0.500 0.500 0.500
```



First-principles (meta-GGA SCAN) data for a PBEsol-optimized structure of TiCrSb2I, as listed in the Alexandria database.

Values from the calculation:
Total moment: 4.76 μB/cell
Uncorrected formation energy: 0.50 eV/atom
Density of states at the Fermi level: 2.32 states/eV per cell

The structure in CIF format:
```
data_TiCrSb2I
_space_group_name_H-M_alt 'P 4/m m m'
_space_group_IT_number 123
_space_group_name_Hall '-P 4 2'
_cell_length_a 4.961
_cell_length_b 4.961
_cell_length_c 5.463
_cell_angle_alpha 90.00
_cell_angle_beta 90.00
_cell_angle_gamma 90.00
loop_
_atom_site_label
_atom_site_type_symbol
_atom_site_fract_x
_atom_site_fract_y
_atom_site_fract_z
Ti1 Ti 0.000 0.000 0.000
Cr1 Cr 0.500 0.500 0.500
Sb1 Sb 0.000 0.500 0.500
I1 I 0.500 0.500 0.000
```



First-principles (meta-GGA SCAN) data for a PBEsol-optimized structure of Ca2TcRu, as listed in the Alexandria database.

Values from the calculation:
DFT formation energy: 217 meV per atom
Total moment: 0.01 μB/cell
Energy relative to the lowest polymorph listed for this composition: 0 meV per atom
Density of states at the Fermi level: 3.68 states/eV per cell

The structure in CIF format:
```
data_Ca2TcRu
_space_group_name_H-M_alt 'P 4 m m'
_space_group_IT_number 99
_space_group_name_Hall 'P 4 -2'
_cell_length_a 3.161
_cell_length_b 3.161
_cell_length_c 8.913
_cell_angle_alpha 90.00
_cell_angle_beta 90.00
_cell_angle_gamma 90.00
loop_
_atom_site_label
_atom_site_type_symbol
_atom_site_fract_x
_atom_site_fract_y
_atom_site_fract_z
Ca1 Ca 0.000 0.000 0.000
Ca2 Ca 0.500 0.500 0.388
Tc1 Tc 0.500 0.500 0.756
Ru1 Ru 0.000 0.000 0.626
```



First-principles (meta-GGA SCAN) data for a PBEsol-optimized structure of MgCoPt2, as listed in the Alexandria database.

Values from the calculation:
DFT formation energy: -365 meV per atom
Total moment: 9.18 μB/cell
Density of states at the Fermi level: 7.60 states/eV per cell

The structure in CIF format:
```
data_MgCoPt2
_space_group_name_H-M_alt 'F -4 3 m'
_space_group_IT_number 216
_space_group_name_Hall 'F -4 2 3'
_cell_length_a 6.134
_cell_length_b 6.134
_cell_length_c 6.134
_cell_angle_alpha 90.00
_cell_angle_beta 90.00
_cell_angle_gamma 90.00
loop_
_atom_site_label
_atom_site_type_symbol
_atom_site_fract_x
_atom_site_fract_y
_atom_site_fract_z
Mg1 Mg 0.000 0.000 0.000
Co1 Co 0.250 0.250 0.250
Pt1 Pt 0.000 0.000 0.500
Pt2 Pt 0.250 0.250 0.750
```